The following is a PBE-GGA calculation of RbMnB3 after structural relaxation, from Alexandria.

Summary:
For the density of states at the Fermi level, the calculation gives 3.9 states/eV/f.u. The calculation puts the total moment at 0.00 μB per cell. The calculation puts the relative energy among the computed polymorphs at 0 kJ/mol of formula units. The energy of formation is 4.850 eV/f.u.

a = 4.0948 Å, b = 4.0948 Å, c = 4.0948 Å
α = 90.00°, β = 90.00°, γ = 90.00°
Closest atoms and distances in Å follow each position.
Space group Pm-3m (No. 221)
Unique sites:
Rb 0.0000 0.0000 0.0000 x1  12 B 2.90
Mn 0.5000 0.5000 0.5000 x1  6 B 2.05
B 0.0000 0.5000 0.5000 x3  2 Mn 2.05